Record 1
! ScHgOsO6 | Alexandria via LeMat-Bulk | GGA-PBE | relaxed; values from VASP
&SYSTEM
  ibrav = 0, nat = 9, ntyp = 4
/
ATOMIC_SPECIES
Sc 44.96 Sc.upf
Hg 200.59 Hg.upf
Os 190.23 Os.upf
O 16.00 O.upf
ATOMIC_POSITIONS angstrom
Sc 0.000 0.000 0.000
Hg 2.674 1.544 2.440
Os 0.000 3.087 0.000
O -0.669 1.671 1.081
O -1.562 3.216 3.799
O 0.669 1.671 3.799
O -0.892 4.375 1.081
O 1.562 3.216 1.081
O 0.892 4.375 3.799
CELL_PARAMETERS angstrom
5.348 0.000 0.000
-2.674 4.631 0.000
0.000 0.000 4.880
! ρ   7.307 g/cm3
! Calculated volume   120.9 Å³ per cell
! Formation energy from raw total energies   -1438.9 meV/atom
! Uncorrected energy   -60.56 eV per cell

Record 2
! HgC2S2N2 | Alexandria via LeMat-Bulk | GGA-PBE | relaxed; values from VASP
&SYSTEM
  ibrav = 0, nat = 7, ntyp = 4
/
ATOMIC_SPECIES
Hg 200.59 Hg.upf
C 12.01 C.upf
S 32.06 S.upf
N 14.01 N.upf
ATOMIC_POSITIONS angstrom
Hg 0.000 0.000 0.000
C 2.759 -0.469 1.454
C 7.170 -0.469 5.530
S 1.237 -0.365 2.090
S 8.692 -0.365 4.893
N 3.868 -0.526 1.053
N 6.061 -0.526 5.931
CELL_PARAMETERS angstrom
5.506 -2.185 0.000
5.506 2.185 0.000
-1.083 0.000 6.984
! ρ   3.130 g/cm3
! Calculated volume   168.0 Å³ per cell
! Formation energy from raw total energies   302.0 meV/atom
! Uncorrected energy   -41.54 eV per cell

Record 3
! PuGeAs | Alexandria via LeMat-Bulk | GGA-PBE | relaxed; values from VASP
&SYSTEM
  ibrav = 0, nat = 3, ntyp = 3
/
ATOMIC_SPECIES
Pu 244.00 Pu.upf
Ge 72.64 Ge.upf
As 74.92 As.upf
ATOMIC_POSITIONS angstrom
Pu 0.000 0.000 0.000
Ge 0.000 2.592 1.879
As 2.245 1.296 1.879
CELL_PARAMETERS angstrom
4.490 0.000 0.000
-2.245 3.889 0.000
0.000 0.000 3.758
! ρ   9.909 g/cm3
! Energy above the lowest structure with this stoichiometry   59 meV/atom
! Calculated volume   65.6 Å³ per cell
! Uncorrected energy   -24.84 eV per cell

Record 4
! Ce4Bi2AsN2 | Alexandria via LeMat-Bulk | GGA-PBE | relaxed; values from VASP
&SYSTEM
  ibrav = 0, nat = 9, ntyp = 4
/
ATOMIC_SPECIES
Ce 140.12 Ce.upf
Bi 208.98 Bi.upf
As 74.92 As.upf
N 14.01 N.upf
ATOMIC_POSITIONS angstrom
Ce -0.207 0.000 1.845
Ce 3.510 0.000 2.461
Ce 9.241 0.000 4.595
Ce 12.958 0.000 5.211
Bi 2.950 0.000 6.822
Bi 9.801 0.000 0.234
As 6.376 0.000 3.528
N 1.402 0.000 3.382
N 11.349 0.000 3.674
CELL_PARAMETERS angstrom
7.796 -2.046 0.000
7.796 2.046 0.000
-2.841 0.000 7.056
! ρ   7.976 g/cm3
! Calculated volume   225.1 Å³ per cell
! Formation energy from raw total energies   -1200.5 meV/atom
! Uncorrected energy   -63.60 eV per cell

Record 5
! NaHfC2 | Alexandria via LeMat-Bulk | GGA-PBE | relaxed; values from VASP
&SYSTEM
  ibrav = 0, nat = 4, ntyp = 3
/
ATOMIC_SPECIES
Na 22.99 Na.upf
Hf 178.49 Hf.upf
C 12.01 C.upf
ATOMIC_POSITIONS angstrom
Na 0.000 0.000 0.000
Hf 2.866 2.866 2.866
C 1.433 1.433 1.433
C 4.299 4.299 4.299
CELL_PARAMETERS angstrom
0.000 2.866 2.866
2.866 0.000 2.866
2.866 2.866 0.000
! ρ   7.955 g/cm3
! Energy above the lowest structure with this stoichiometry   4 meV/atom
! Calculated volume   47.1 Å³ per cell
! Uncorrected energy   -25.18 eV per cell

Record 6
! Nd3Sm4Ga | Alexandria via LeMat-Bulk | GGA-PBE | relaxed; values from VASP
&SYSTEM
  ibrav = 0, nat = 8, ntyp = 3
/
ATOMIC_SPECIES
Nd 144.24 Nd.upf
Sm 150.36 Sm.upf
Ga 69.72 Ga.upf
ATOMIC_POSITIONS angstrom
Nd 0.000 0.000 0.000
Nd 0.000 0.000 5.205
Nd 0.000 0.000 14.171
Sm 1.821 1.821 2.614
Sm 1.821 1.821 7.854
Sm 1.821 1.821 11.522
Sm 1.821 1.821 16.762
Ga 0.000 0.000 9.688
CELL_PARAMETERS angstrom
3.643 0.000 0.000
0.000 3.643 0.000
0.000 0.000 19.376
! ρ   7.129 g/cm3
! Calculated volume   257.1 Å³ per cell
! Uncorrected energy   -37.18 eV per cell

Record 7
! VNiMo | Alexandria via LeMat-Bulk | GGA-PBE | relaxed; values from VASP
&SYSTEM
  ibrav = 0, nat = 6, ntyp = 3
/
ATOMIC_SPECIES
V 50.94 V.upf
Ni 58.69 Ni.upf
Mo 95.94 Mo.upf
ATOMIC_POSITIONS angstrom
V 0.769 0.769 1.887
V 2.306 2.306 6.632
Ni 0.769 0.769 7.849
Ni 2.306 2.306 0.669
Mo 0.769 0.769 5.048
Mo 2.306 2.306 3.471
CELL_PARAMETERS angstrom
3.074 0.000 0.000
0.000 3.074 0.000
0.000 0.000 8.519
! ρ   8.481 g/cm3
! Energy above the lowest structure with this stoichiometry   0 meV/atom
! Calculated volume   80.5 Å³ per cell
! Uncorrected energy   -52.26 eV per cell

Record 8
! Sm2Tm5Ge4 | Alexandria via LeMat-Bulk | GGA-PBE | relaxed; values from VASP
&SYSTEM
  ibrav = 0, nat = 11, ntyp = 3
/
ATOMIC_SPECIES
Sm 150.36 Sm.upf
Tm 168.93 Tm.upf
Ge 72.64 Ge.upf
ATOMIC_POSITIONS angstrom
Sm 2.338 0.000 1.441
Sm 22.670 0.000 5.440
Tm 3.025 0.000 4.857
Tm 5.992 0.000 1.809
Tm 12.504 0.000 3.440
Tm 19.016 0.000 5.072
Tm 21.983 0.000 2.023
Ge 0.271 0.000 5.796
Ge 7.822 0.000 6.840
Ge 17.186 0.000 0.040
Ge 24.737 0.000 1.085
CELL_PARAMETERS angstrom
12.710 -1.723 0.000
12.710 1.723 0.000
-0.412 0.000 6.881
! ρ   7.913 g/cm3
! Calculated volume   301.3 Å³ per cell
! Uncorrected energy   -54.05 eV per cell